# YTa2H2, optimized geometry, DFT PBE
data_YTa2H2
_symmetry_space_group_name_H-M 'P 4/m b m'
_symmetry_Int_Tables_number 127
_symmetry_space_group_name_Hall '-P 4 2ab'
_cell_length_a 7.020
_cell_length_b 7.020
_cell_length_c 3.025
_cell_angle_alpha 90.00
_cell_angle_beta 90.00
_cell_angle_gamma 90.00
loop_
_atom_site_label
_atom_site_type_symbol
_atom_site_fract_x
_atom_site_fract_y
_atom_site_fract_z
_atom_site_occupancy
Y1 Y 0.000 0.000 0.000 1
Ta1 Ta 0.132 0.368 0.500 1
H1 H 0.099 0.599 0.000 1
# Raw total energy (eV per cell): -66.8

=====

# Tl2PdC4N4, optimized geometry, DFT PBE
data_Tl2PdC4N4
_symmetry_space_group_name_H-M 'P 1 21/c 1'
_symmetry_Int_Tables_number 14
_symmetry_space_group_name_Hall '-P 2ybc'
_cell_length_a 6.546
_cell_length_b 7.588
_cell_length_c 10.064
_cell_angle_alpha 90.00
_cell_angle_beta 111.84
_cell_angle_gamma 90.00
loop_
_atom_site_label
_atom_site_type_symbol
_atom_site_fract_x
_atom_site_fract_y
_atom_site_fract_z
_atom_site_occupancy
Tl1 Tl 0.198 0.141 0.420 1
Pd1 Pd 0.500 0.000 0.000 1
C1 C 0.240 0.662 0.440 1
C2 C 0.493 0.002 0.800 1
N1 N 0.089 0.741 0.905 1
N2 N 0.489 0.004 0.682 1
# Formation energy (no corrections) (eV/atom): 0.2512

=====

# VFe2Hg, optimized geometry, DFT PBE
data_VFe2Hg
_symmetry_space_group_name_H-M 'I -4 2 d'
_symmetry_Int_Tables_number 122
_symmetry_space_group_name_Hall 'I -4 2bw'
_cell_length_a 3.838
_cell_length_b 3.838
_cell_length_c 17.688
_cell_angle_alpha 90.00
_cell_angle_beta 90.00
_cell_angle_gamma 90.00
loop_
_atom_site_label
_atom_site_type_symbol
_atom_site_fract_x
_atom_site_fract_y
_atom_site_fract_z
_atom_site_occupancy
V1 V 0.000 0.000 0.000 1
Fe1 Fe 0.206 0.250 0.125 1
Hg1 Hg 0.000 0.000 0.500 1
# Raw total energy (eV per cell): -93.7

=====

# Rb2VFeBr6, optimized geometry, DFT PBE
data_Rb2VFeBr6
_symmetry_space_group_name_H-M 'F m -3 m'
_symmetry_Int_Tables_number 225
_symmetry_space_group_name_Hall '-F 4 2 3'
_cell_length_a 10.578
_cell_length_b 10.578
_cell_length_c 10.578
_cell_angle_alpha 90.00
_cell_angle_beta 90.00
_cell_angle_gamma 90.00
loop_
_atom_site_label
_atom_site_type_symbol
_atom_site_fract_x
_atom_site_fract_y
_atom_site_fract_z
_atom_site_occupancy
Rb1 Rb 0.250 0.250 0.250 1
V1 V 0.000 0.000 0.000 1
Fe1 Fe 0.000 0.000 0.500 1
Br1 Br 0.000 0.000 0.250 1
# Formation energy (no corrections) (eV/atom): -1.0045

=====

# KTcPd, optimized geometry, DFT PBE
data_KTcPd
_symmetry_space_group_name_H-M 'C 1 2/m 1'
_symmetry_Int_Tables_number 12
_symmetry_space_group_name_Hall '-C 2y'
_cell_length_a 10.129
_cell_length_b 4.261
_cell_length_c 8.473
_cell_angle_alpha 90.00
_cell_angle_beta 123.45
_cell_angle_gamma 90.00
loop_
_atom_site_label
_atom_site_type_symbol
_atom_site_fract_x
_atom_site_fract_y
_atom_site_fract_z
_atom_site_occupancy
K1 K 0.078 0.000 0.366 1
Tc1 Tc 0.123 0.500 0.038 1
Pd1 Pd 0.218 0.500 0.815 1
# Raw total energy (eV per cell): -59.8

=====

# Cs2TiPbF6, optimized geometry, DFT PBE
data_Cs2TiPbF6
_symmetry_space_group_name_H-M 'I 4/m m m'
_symmetry_Int_Tables_number 139
_symmetry_space_group_name_Hall '-I 4 2'
_cell_length_a 6.361
_cell_length_b 6.361
_cell_length_c 11.087
_cell_angle_alpha 90.00
_cell_angle_beta 90.00
_cell_angle_gamma 90.00
loop_
_atom_site_label
_atom_site_type_symbol
_atom_site_fract_x
_atom_site_fract_y
_atom_site_fract_z
_atom_site_occupancy
Cs1 Cs 0.000 0.500 0.250 1
Ti1 Ti 0.000 0.000 0.000 1
Pb1 Pb 0.000 0.000 0.500 1
F1 F 0.000 0.000 0.174 1
F2 F 0.223 0.223 0.000 1
# Formation energy (no corrections) (eV/atom): -2.7114

=====

# Y2TaI, optimized geometry, DFT PBE
data_Y2TaI
_symmetry_space_group_name_H-M 'I -4 2 d'
_symmetry_Int_Tables_number 122
_symmetry_space_group_name_Hall 'I -4 2bw'
_cell_length_a 6.586
_cell_length_b 6.586
_cell_length_c 13.812
_cell_angle_alpha 90.00
_cell_angle_beta 90.00
_cell_angle_gamma 90.00
loop_
_atom_site_label
_atom_site_type_symbol
_atom_site_fract_x
_atom_site_fract_y
_atom_site_fract_z
_atom_site_occupancy
Y1 Y 0.194 0.250 0.125 1
Ta1 Ta 0.000 0.000 0.000 1
I1 I 0.000 0.000 0.500 1
# Formation energy (no corrections) (eV/atom): 1.0189

=====

# Cd2SnCl6, optimized geometry, DFT PBE
data_Cd2SnCl6
_symmetry_space_group_name_H-M 'C 1 2/c 1'
_symmetry_Int_Tables_number 15
_symmetry_space_group_name_Hall '-C 2yc'
_cell_length_a 13.478
_cell_length_b 12.339
_cell_length_c 7.246
_cell_angle_alpha 90.00
_cell_angle_beta 100.79
_cell_angle_gamma 90.00
loop_
_atom_site_label
_atom_site_type_symbol
_atom_site_fract_x
_atom_site_fract_y
_atom_site_fract_z
_atom_site_occupancy
Cd1 Cd 0.189 0.083 0.325 1
Sn1 Sn 0.000 0.391 0.250 1
Cl1 Cl 0.121 0.412 0.622 1
Cl2 Cl 0.122 0.245 0.133 1
Cl3 Cl 0.129 0.082 0.631 1
# Formation energy (no corrections) (eV/atom): -1.0189

=====

no.,magnetic moment (μB/f.u.)
1,0.00
2,0.00
3,2.33
4,6.70
5,0.00
6,1.62
7,0.61
8,0.00